Computed, not measured: a relaxed ZrTl2Ru crystal at the PBE level of DFT.

- E above lowest polymorph (kcal/mol of atoms) = 11.04

abc: 7.8827 7.8827 5.7951
angles: 90.00 90.00 90.00
With the nearest neighbours (Å) after each atom.
Fractional positions:
Zr  0.0000  0.0000  0.0000  2 Ru 2.90, 4 Tl 3.03
Zr  0.0000  0.5000  0.2500  2 Ru 2.90, 4 Tl 3.03
Zr  0.5000  0.0000  0.7500  2 Ru 2.90, 4 Tl 3.03
Zr  0.5000  0.5000  0.5000  2 Ru 2.90, 4 Tl 3.03
Tl  0.2225  0.2500  0.6250  2 Ru 2.74, 2 Tl 2.93, 2 Zr 3.03
Tl  0.2500  0.7225  0.8750  2 Ru 2.74, 2 Tl 2.93, 2 Zr 3.03
Tl  0.2500  0.7775  0.3750  2 Ru 2.74, 2 Tl 2.93, 2 Zr 3.03
Tl  0.2775  0.2500  0.1250  2 Ru 2.74, 2 Tl 2.93, 2 Zr 3.03
Tl  0.7225  0.7500  0.1250  2 Ru 2.74, 2 Tl 2.93, 2 Zr 3.03
Tl  0.7500  0.2225  0.3750  2 Ru 2.74, 2 Tl 2.93, 2 Zr 3.03
Tl  0.7500  0.2775  0.8750  2 Ru 2.74, 2 Tl 2.93, 2 Zr 3.03
Tl  0.7775  0.7500  0.6250  2 Ru 2.74, 2 Tl 2.93, 2 Zr 3.03
Ru  0.0000  0.0000  0.5000  4 Tl 2.74, 2 Zr 2.90
Ru  0.0000  0.5000  0.7500  4 Tl 2.74, 2 Zr 2.90
Ru  0.5000  0.0000  0.2500  4 Tl 2.74, 2 Zr 2.90
Ru  0.5000  0.5000  0.0000  4 Tl 2.74, 2 Zr 2.90

---

Computed, not measured: a relaxed Tm4Ru crystal at the PBE level of DFT.

- E above lowest polymorph (kcal/mol of atoms) = 3.50

abc: 5.3033 5.3033 5.3033
angles: 90.00 90.00 90.00
With the nearest neighbours (Å) after each atom.
Fractional positions:
Tm  0.0000  0.0000  0.0000  12 Tm 3.75
Tm  0.0000  0.5000  0.5000  2 Ru 2.65
Tm  0.5000  0.0000  0.5000  2 Ru 2.65
Tm  0.5000  0.5000  0.0000  2 Ru 2.65
Ru  0.5000  0.5000  0.5000  6 Tm 2.65

---

Computed, not measured: a relaxed Tm5Ru6 crystal at the PBE level of DFT.

abc: 8.0193 8.0193 4.5664
angles: 106.39 106.39 50.67
With the nearest neighbours (Å) after each atom.
Fractional positions:
Tm  0.0000  0.0000  0.0000  8 Ru 2.72-2.83
Tm  0.1779  0.1779  0.6780  8 Ru 2.78-2.86
Tm  0.3561  0.3561  0.3542  6 Ru 2.78-2.88
Tm  0.6439  0.6439  0.6458  6 Ru 2.78-2.88
Tm  0.8221  0.8221  0.3220  8 Ru 2.78-2.86
Ru  0.0848  0.5878  0.8350  6 Tm 2.78-2.88
Ru  0.2149  0.7851  0.5000  6 Tm 2.72-2.86, 1 Ru 2.95
Ru  0.4122  0.9152  0.1650  6 Tm 2.78-2.88
Ru  0.5878  0.0848  0.8350  6 Tm 2.78-2.88
Ru  0.7851  0.2149  0.5000  6 Tm 2.72-2.86, 1 Ru 2.95
Ru  0.9152  0.4122  0.1650  6 Tm 2.78-2.88

---

Computed, not measured: a relaxed Tm5Ru2 crystal at the PBE level of DFT.

abc: 8.3236 8.3236 7.2347
angles: 96.90 96.90 44.08
With the nearest neighbours (Å) after each atom.
Fractional positions:
Tm  0.0809  0.9191  0.7500  4 Ru 2.85-2.90
Tm  0.1409  0.2941  0.3161  3 Ru 2.80-2.97
Tm  0.2927  0.5223  0.0846  2 Ru 2.72-2.77
Tm  0.2941  0.1409  0.8161  3 Ru 2.80-2.97
Tm  0.4777  0.7073  0.4154  2 Ru 2.72-2.77
Tm  0.5223  0.2927  0.5846  2 Ru 2.72-2.77
Tm  0.7059  0.8591  0.1839  3 Ru 2.80-2.97
Tm  0.7073  0.4777  0.9154  2 Ru 2.72-2.77
Tm  0.8591  0.7059  0.6839  3 Ru 2.80-2.97
Tm  0.9191  0.0809  0.2500  4 Ru 2.85-2.90
Ru  0.1029  0.6761  0.4228  7 Tm 2.72-2.97
Ru  0.3239  0.8971  0.0772  7 Tm 2.72-2.97
Ru  0.6761  0.1029  0.9228  7 Tm 2.72-2.97
Ru  0.8971  0.3239  0.5772  7 Tm 2.72-2.97

---

Computed, not measured: a relaxed Tm4Ru crystal at the PBE level of DFT.

- E above lowest polymorph (kcal/mol of atoms) = 0.00

abc: 7.1440 7.1440 7.1440
angles: 107.41 107.41 113.68
With the nearest neighbours (Å) after each atom.
Fractional positions:
Tm  0.0276  0.8174  0.1830  1 Ru 2.65
Tm  0.1156  0.4326  0.7102  1 Ru 2.65
Tm  0.1554  0.9724  0.7898  1 Ru 2.65
Tm  0.1826  0.3656  0.2102  1 Ru 2.65
Tm  0.5674  0.2776  0.6830  1 Ru 2.65
Tm  0.5946  0.8844  0.3170  1 Ru 2.65
Tm  0.6344  0.8446  0.8170  1 Ru 2.65
Tm  0.7224  0.4054  0.2898  1 Ru 2.65
Ru  0.2500  0.7500  0.5000  4 Tm 2.65
Ru  0.5000  0.5000  0.0000  4 Tm 2.65

---

Computed, not measured: a relaxed Tm2U2Ru3 crystal at the PBE level of DFT.

abc: 3.7991 5.6460 7.3147
angles: 77.93 89.98 70.35
With the nearest neighbours (Å) after each atom.
Fractional positions:
Tm  0.1266  0.2478  0.3708  5 Ru 2.91-3.09
Tm  0.8734  0.7522  0.6292  5 Ru 2.91-3.09
U  0.1634  0.1730  0.9160  4 Ru 2.62-2.74, 2 U 2.74
U  0.8366  0.8270  0.0840  4 Ru 2.62-2.74, 2 U 2.74
Ru  0.3929  0.7140  0.3351  2 U 2.62, 3 Tm 2.91, 2 Ru 2.92-2.93
Ru  0.5000  0.5000  0.0000  4 U 2.74, 2 Ru 2.92
Ru  0.6071  0.2860  0.6649  2 U 2.62, 3 Tm 2.91, 2 Ru 2.92-2.93

---

Computed, not measured: a relaxed Tm5URu6 crystal at the PBE level of DFT.

abc: 8.1474 8.1474 8.1474
angles: 145.72 130.96 61.20
With the nearest neighbours (Å) after each atom.
Fractional positions:
Tm  0.0000  0.0000  0.0000  8 Ru 2.83-3.02
Tm  0.1630  0.6630  0.5000  8 Ru 2.93-3.01
Tm  0.3240  0.3240  0.0000  8 Ru 2.88-2.98
Tm  0.6760  0.6760  0.0000  8 Ru 2.88-2.98
Tm  0.8370  0.3370  0.5000  8 Ru 2.93-3.01
U  0.5000  0.0000  0.5000  8 Ru 2.69-2.86
Ru  0.1127  0.8446  0.2681  1 U 2.69, 5 Tm 2.83-2.99
Ru  0.2711  0.5000  0.7711  2 U 2.86, 6 Tm 2.91-3.02, 1 Ru 3.10
Ru  0.4235  0.1554  0.2681  1 U 2.69, 5 Tm 2.83-2.99
Ru  0.5765  0.8446  0.7319  1 U 2.69, 5 Tm 2.83-2.99
Ru  0.7289  0.5000  0.2289  2 U 2.86, 6 Tm 2.91-3.02, 1 Ru 3.10
Ru  0.8873  0.1554  0.7319  1 U 2.69, 5 Tm 2.83-2.99

---

Computed, not measured: a relaxed Tm4URu5 crystal at the PBE level of DFT.

- E above lowest polymorph (kcal/mol of atoms) = 5.57

abc: 6.7384 6.7384 6.7384
angles: 99.29 99.29 132.61
With the nearest neighbours (Å) after each atom.
Fractional positions:
Tm  0.0720  0.3226  0.3946  6 Ru 2.79-3.06
Tm  0.3226  0.9280  0.2507  6 Ru 2.79-3.06
Tm  0.6774  0.0720  0.7493  6 Ru 2.79-3.06
Tm  0.9280  0.6774  0.6054  6 Ru 2.79-3.06
U  0.7072  0.7072  0.0000  5 Ru 2.31-2.50
Ru  0.1329  0.1329  0.0000  1 U 2.31
Ru  0.2600  0.5963  0.8792  1 U 2.50, 1 Tm 2.79
Ru  0.3808  0.2600  0.6636  1 U 2.50, 1 Tm 2.79
Ru  0.5963  0.7171  0.3364  1 U 2.50, 1 Tm 2.79
Ru  0.7171  0.3808  0.1208  1 U 2.50, 1 Tm 2.79

---

Computed, not measured: a relaxed Tm2URu3 crystal at the PBE level of DFT.

- E above lowest polymorph (kcal/mol of atoms) = 0.00

abc: 7.4840 7.4840 6.7526
angles: 90.03 90.03 142.58
With the nearest neighbours (Å) after each atom.
Fractional positions:
Tm  0.0000  0.0000  0.0000  8 Ru 3.00-3.05, 4 Tm 3.35
Tm  0.0000  0.0000  0.5000  8 Ru 2.87-2.89
Tm  0.3354  0.6646  0.0000  8 Ru 2.95-3.02
Tm  0.6646  0.3354  0.0000  8 Ru 2.95-3.02
U  0.3337  0.6663  0.5000  8 Ru 2.76-2.86
U  0.6663  0.3337  0.5000  8 Ru 2.76-2.86
Ru  0.1713  0.8272  0.7290  3 U 2.76-2.86, 5 Tm 2.89-3.05, 1 Ru 3.09
Ru  0.1728  0.8287  0.2710  3 U 2.76-2.86, 5 Tm 2.89-3.05, 1 Ru 3.09
Ru  0.4999  0.4999  0.2675  2 U 2.83, 6 Tm 2.87-3.01, 1 Ru 3.14
Ru  0.5001  0.5001  0.7325  2 U 2.83, 6 Tm 2.87-3.01, 1 Ru 3.14
Ru  0.8272  0.1713  0.7290  3 U 2.76-2.86, 5 Tm 2.89-3.05, 1 Ru 3.09
Ru  0.8287  0.1728  0.2710  3 U 2.76-2.86, 5 Tm 2.89-3.05, 1 Ru 3.09

---

Computed, not measured: a relaxed TmU2Ru3 crystal at the PBE level of DFT.

abc: 6.1130 6.1130 6.9623
angles: 105.26 105.26 67.88
With the nearest neighbours (Å) after each atom.
Fractional positions:
Tm  0.0730  0.0730  0.3289  8 Ru 2.91-3.18, 1 Tm 3.18
Tm  0.9270  0.9270  0.6711  8 Ru 2.91-3.18, 1 Tm 3.18
U  0.2575  0.2575  0.0115  4 Ru 2.58-2.64
U  0.4400  0.4400  0.6346  1 U 2.54, 2 Ru 2.84
U  0.5600  0.5600  0.3654  1 U 2.54, 2 Ru 2.84
U  0.7425  0.7425  0.9885  4 Ru 2.58-2.64
Ru  0.0266  0.5627  0.2965  2 U 2.58-2.64
Ru  0.2837  0.7163  0.0000  4 U 2.84-2.89, 2 Tm 2.91, 3 Ru 2.95-3.05
Ru  0.4373  0.9734  0.7035  2 U 2.58-2.64
Ru  0.5627  0.0266  0.2965  2 U 2.58-2.64
Ru  0.7163  0.2837  0.0000  4 U 2.84-2.89, 2 Tm 2.91, 3 Ru 2.95-3.05
Ru  0.9734  0.4373  0.7035  2 U 2.58-2.64

---

Computed, not measured: a relaxed Tm2URu3 crystal at the PBE level of DFT.

- E above lowest polymorph (kcal/mol of atoms) = 7.43

abc: 3.3072 5.5166 13.5016
angles: 90.00 90.00 90.00
With the nearest neighbours (Å) after each atom.
Fractional positions:
Tm  0.0000  0.0000  0.1681  6 Ru 2.77-3.01
Tm  0.0000  0.0000  0.8319  6 Ru 2.77-3.01
Tm  0.5000  0.5000  0.3319  6 Ru 2.77-3.01
Tm  0.5000  0.5000  0.6681  6 Ru 2.77-3.01
U  0.0000  0.0000  0.5000  6 Ru 2.57-2.76
U  0.5000  0.5000  0.0000  6 Ru 2.57-2.76
Ru  0.0000  0.5000  0.1459  2 U 2.57, 2 Tm 2.77
Ru  0.0000  0.5000  0.5000  2 U 2.76, 4 Tm 2.81
Ru  0.0000  0.5000  0.8541  2 U 2.57, 2 Tm 2.77
Ru  0.5000  0.0000  0.0000  2 U 2.76, 4 Tm 2.81
Ru  0.5000  0.0000  0.3541  2 U 2.57, 2 Tm 2.77
Ru  0.5000  0.0000  0.6459  2 U 2.57, 2 Tm 2.77

---

Computed, not measured: a relaxed Tm4URu5 crystal at the PBE level of DFT.

- E above lowest polymorph (kcal/mol of atoms) = 0.00

abc: 3.3683 3.3683 16.8081
angles: 90.00 90.00 90.00
With the nearest neighbours (Å) after each atom.
Fractional positions:
Tm  0.0000  0.0000  0.0985  8 Ru 2.90-2.95
Tm  0.0000  0.0000  0.2948  8 Ru 2.85-3.09
Tm  0.0000  0.0000  0.7052  8 Ru 2.85-3.09
Tm  0.0000  0.0000  0.9015  8 Ru 2.90-2.95
U  0.0000  0.0000  0.5000  8 Ru 2.80
Ru  0.5000  0.5000  0.0000  8 Tm 2.90
Ru  0.5000  0.5000  0.2017  8 Tm 2.85-2.95
Ru  0.5000  0.5000  0.4124  4 U 2.80, 1 Ru 2.95, 4 Tm 3.09
Ru  0.5000  0.5000  0.5876  4 U 2.80, 1 Ru 2.95, 4 Tm 3.09
Ru  0.5000  0.5000  0.7983  8 Tm 2.85-2.95

---

Computed, not measured: a relaxed Tm5URu4 crystal at the PBE level of DFT.

abc: 7.7412 7.7412 6.7261
angles: 100.97 100.97 35.04
With the nearest neighbours (Å) after each atom.
Fractional positions:
Tm  0.0000  0.0000  0.0000  6 Ru 2.93-2.97
Tm  0.3257  0.3257  0.4573  4 Ru 2.82-3.07
Tm  0.3338  0.3338  0.9593  5 Ru 2.85-3.17
Tm  0.6662  0.6662  0.0407  5 Ru 2.85-3.17
Tm  0.6743  0.6743  0.5427  4 Ru 2.82-3.07
U  0.0000  0.0000  0.5000  2 Ru 2.47
Ru  0.1445  0.1445  0.7577  1 U 2.47
Ru  0.4997  0.4997  0.2731  2 U 2.79, 5 Tm 2.84-3.07, 1 Ru 3.05
Ru  0.5003  0.5003  0.7269  2 U 2.79, 5 Tm 2.84-3.07, 1 Ru 3.05
Ru  0.8555  0.8555  0.2423  1 U 2.47

---

Across the entries above, DOS at the Fermi energy takes the values 0.89, 1.34, 1.44, 0.71, 1.11, 1.49, 0.40, 0.85, 0.79, 1.21, 0.68, 0.77, 0.73 states/eV per atom, respectively.
Across the entries above, DFT formation energy takes the values 485, -76, -28, -410, -228, -334, -515, -200, -452, -330, -130, -442, -406 meV per atom, respectively.